The following is a PBE-GGA calculation of a geometry-optimized TaIrCl2 structure, from the Alexandria database.

spin magnetization = 0.7 μB per cell
energy above the lowest structure with this stoichiometry = 0.713 eV per atom
DOS(E_F) = 3.0 states/eV/f.u.

a = 10.7912 Å, b = 10.7912 Å, c = 10.7912 Å
α = 15.64°, β = 15.64°, γ = 15.64°
Atoms (fractional coordinates):
Ir 0.2500 0.2500 0.2500
Cl 0.4748 0.4748 0.4748
Cl 0.0252 0.0252 0.0252
Ta 0.7500 0.7500 0.7500


The following is a PBE-GGA calculation of a geometry-optimized Ta2IrCl structure, from the Alexandria database.

spin magnetization = 0.0 μB per cell
energy above the lowest structure with this stoichiometry = 0.047 eV per atom
DOS(E_F) = 1.5 states/eV/f.u.

a = 2.9427 Å, b = 2.9427 Å, c = 7.2363 Å
α = 90.00°, β = 90.00°, γ = 90.02°
Atoms (fractional coordinates):
Cl 0.5000 0.5000 0.2500
Ta 0.0000 0.0000 0.0090
Ta 0.0000 0.0000 0.4910
Ir 0.5000 0.5000 0.7500


The following is a PBE-GGA calculation of a geometry-optimized TaIrCl2 structure, from the Alexandria database.

spin magnetization = 0.0 μB per cell
energy above the lowest structure with this stoichiometry = 0.239 eV per atom
DOS(E_F) = 3.5 states/eV/f.u.

a = 2.9940 Å, b = 2.9940 Å, c = 8.6321 Å
α = 90.00°, β = 90.00°, γ = 90.00°
Atoms (fractional coordinates):
Ta 0.5000 0.5000 0.7289
Ir 0.0000 0.0000 0.5342
Cl 0.5000 0.5000 0.3123
Cl 0.0000 0.0000 0.9246


The following is a PBE-GGA calculation of a geometry-optimized TaIrCl2 structure, from the Alexandria database.

spin magnetization = 0.0 μB per cell
energy above the lowest structure with this stoichiometry = 1.386 eV per atom
DOS(E_F) = 3.1 states/eV/f.u.

a = 4.4559 Å, b = 4.4559 Å, c = 4.4559 Å
α = 60.00°, β = 60.00°, γ = 60.00°
Atoms (fractional coordinates):
Cl 0.2500 0.2500 0.2500
Cl 0.7500 0.7500 0.7500
Ir 0.0000 0.0000 0.0000
Ta 0.5000 0.5000 0.5000


The following is a PBE-GGA calculation of a geometry-optimized TaIrCl2 structure, from the Alexandria database.

spin magnetization = 0.0 μB per cell
energy above the lowest structure with this stoichiometry = 1.519 eV per atom
DOS(E_F) = 4.9 states/eV/f.u.

a = 4.9654 Å, b = 4.9654 Å, c = 2.9275 Å
α = 90.00°, β = 90.00°, γ = 110.89°
Atoms (fractional coordinates):
Cl 0.0000 0.0000 0.0000
Cl 0.5000 0.5000 0.0000
Ta 0.0000 0.5000 0.5000
Ir 0.5000 0.0000 0.5000


The following is a PBE-GGA calculation of a geometry-optimized Ta2IrCl structure, from the Alexandria database.

spin magnetization = 0.0 μB per cell
energy above the lowest structure with this stoichiometry = 0.181 eV per atom
DOS(E_F) = 2.9 states/eV/f.u.

a = 5.6575 Å, b = 5.6575 Å, c = 4.4965 Å
α = 76.19°, β = 76.19°, γ = 30.04°
Atoms (fractional coordinates):
Ir 0.2802 0.2802 0.1571
Cl 0.5151 0.5151 0.5340
Ta 0.7116 0.7116 0.7052
Ta 0.9931 0.9931 0.1038


Calculated energy relative to the elements, uncorrected (eV/atom), listed in the same order as above: 0.147 -0.125 -0.328 0.819 0.952 0.009
Calculated V (Å³/f.u.), listed in the same order as above: 80 63 77 63 67 70